DFT (GGA-PBE) results for a relaxed BPPt crystal.

Computed properties:
magnetization: 0.000 μB/f.u.
symmetry: P-1
VASP energy: -6.127 eV/atom
formation energy from the elements: -8.1 kJ/mol of atoms

Cell lengths 9.2040, 9.6391, 5.6432 Å; angles 143.57, 133.00, 17.55 degrees
Element x y z (fractional)
B (0.8284, 0.5585, 0.8109)
Pt (0.9445, 0.7536, 0.9958)
P (0.2434, 0.8997, 0.1480)
Pt (0.0555, 0.2464, 0.0042)
B (0.1716, 0.4415, 0.1891)
P (0.7566, 0.1003, 0.8520)

DFT (GGA-PBE) results for a relaxed Be2VNi8 crystal.

Computed properties:
magnetization: 0.000 μB/f.u.
symmetry: C2/m
VASP energy: -5.807 eV/atom
formation energy from the elements: -9.2 kJ/mol of atoms

Cell lengths 3.9830, 5.8439, 5.8439 Å; angles 113.96, 100.27, 100.27 degrees
Element x y z (fractional)
Ni (0.3096, 0.6072, 0.6072)
V (0.5000, 0.0000, 0.0000)
Ni (0.1002, 0.0798, 0.3238)
Be (0.0000, 0.3125, 0.6875)
Ni (0.8998, 0.9202, 0.6762)
Ni (0.1002, 0.3238, 0.0798)
Ni (0.5000, 0.2371, 0.7629)
Ni (0.8998, 0.6762, 0.9202)
Ni (0.5000, 0.7629, 0.2371)
Be (0.0000, 0.6875, 0.3125)
Ni (0.6904, 0.3928, 0.3928)

DFT (GGA-PBE) results for a relaxed Er6TePt2Se3 crystal.

Computed properties:
magnetization: 0.000 μB/f.u.
formation energy from raw total energies: -1489 meV/atom
symmetry: C2/m
VASP energy: -5.910 eV/atom

Cell lengths 4.0352, 8.4182, 9.3764 Å; angles 105.93, 102.43, 90.00 degrees
Element x y z (fractional)
Pt (0.1753, 0.3633, 0.3506)
Se (0.8423, 0.1465, 0.6846)
Er (0.0153, 0.2736, 0.0305)
Pt (0.8247, 0.6367, 0.6494)
Se (0.1577, 0.8535, 0.3154)
Er (0.3225, 0.8679, 0.6450)
Er (0.3345, 0.4100, 0.6689)
Se (0.5000, 0.5000, 0.0000)
Er (0.6775, 0.1321, 0.3550)
Te (0.5000, 0.0000, 0.0000)
Er (0.9847, 0.7264, 0.9695)
Er (0.6655, 0.5900, 0.3311)

DFT (GGA-PBE) results for a relaxed Dy2ZnSe crystal.

Computed properties:
magnetization: 0.000 μB/f.u.
formation energy from raw total energies: -1056 meV/atom
symmetry: Cmcm
VASP energy: -4.547 eV/atom

Cell lengths 4.1989, 4.0034, 11.5586 Å; angles 99.97, 90.00, 90.00 degrees
Element x y z (fractional)
Se (0.7500, 0.8063, 0.6125)
Zn (0.7500, 0.5390, 0.0780)
Dy (0.7500, 0.6800, 0.3600)
Zn (0.2500, 0.4610, 0.9220)
Dy (0.2500, 0.0685, 0.1370)
Dy (0.7500, 0.9315, 0.8630)
Dy (0.2500, 0.3200, 0.6400)
Se (0.2500, 0.1937, 0.3875)

DFT (GGA-PBE) results for a relaxed HoPb crystal.

Computed properties:
magnetization: 0.000 μB/f.u.
symmetry: Fm-3m
VASP energy: -4.455 eV/atom
formation energy from the elements: -30.1 kJ/mol of atoms

Cell lengths 4.4359, 4.4359, 4.4359 Å; angles 60.00, 60.00, 60.00 degrees
Element x y z (fractional)
Pb (0.5000, 0.5000, 0.5000)
Ho (0.0000, 0.0000, 0.0000)

DFT (GGA-PBE) results for a relaxed Rb3Np3AsS8 crystal.

Computed properties:
magnetization: 11.000 μB/f.u.
formation energy from raw total energies: -1148 meV/atom
symmetry: R-3m
VASP energy: -6.441 eV/atom

Cell lengths 8.0780, 8.0773, 9.0516 Å; angles 116.50, 90.00, 120.00 degrees
Last column: magnetic moment on the atom in μB.
Element x y z (fractional)
S (0.2616, 0.0410, 0.3204)  -0.07
S (0.7384, 0.9590, 0.6796)  -0.07
S (0.7794, 0.5588, 0.3204)  -0.07
S (0.2206, 0.4412, 0.6796)  -0.07
S (0.7299, 0.4598, 0.6896)  -0.08
Np (0.5000, 0.0000, 0.5000)  3.69
S (0.7794, 0.0410, 0.3204)  -0.07
As (0.0000, 0.0000, 0.5000)  0.03
S (0.2206, 0.9590, 0.6796)  -0.07
S (0.2701, 0.5402, 0.3104)  -0.08
Rb (0.0000, 0.0000, 0.0000)  0.00
Rb (0.0000, 0.5000, 0.0000)  0.00
Np (0.5000, 0.5000, 0.5000)  3.69
Rb (0.5000, 0.5000, 0.0000)  0.00
Np (0.0000, 0.5000, 0.5000)  3.69